1.
Here is crystalline PaTcRu2 at its relaxed geometry from Alexandria via LeMat-Bulk. Energies are from PBE.

Properties
- crystal system = tetragonal
- energy relative to the lowest polymorph listed for this composition (meV/atom) = 0

Lattice parameters (Å, degrees): 4.0861 4.0861 4.0043 90.00 90.00 90.00
Space group P4/mmm (No. 123)
Symmetry-distinct sites (fractional):
Pa (0.0000, 0.0000, 0.0000)
Tc (0.5000, 0.5000, 0.0000)
Ru (0.0000, 0.5000, 0.5000)

---

2.
Here is crystalline Pa8Tc2Ru at its relaxed geometry from Alexandria via LeMat-Bulk. Energies are from PBE.

Properties
- crystal system = monoclinic

Lattice parameters (Å, degrees): 16.7687 5.3194 5.9539 90.00 109.93 90.00
Space group C2/m (No. 12)
Symmetry-distinct sites (fractional):
Pa (0.0117, 0.0000, 0.2512)
Pa (0.0968, 0.5000, 0.6985)
Pa (0.1722, 0.5000, 0.3158)
Pa (0.2124, 0.0000, 0.0917)
Tc (0.1641, 0.0000, 0.5873)
Ru (0.0000, 0.5000, 0.0000)

---

| no. | final energy (eV/atom) |
| --- | --- |
| 1 | -9.84 |
| 2 | -9.73 |